[1]
VASP calculation (SCAN) on a PBEsol-optimized structure of Y3Pt4. Values from VASP.

```
&SYSTEM
  ibrav = 0, nat = 14, ntyp = 2
/
ATOMIC_SPECIES
Pt 195.08 Pt.upf
Y 88.91 Y.upf
CELL_PARAMETERS angstrom
-0.934 3.039 -4.679
-3.852 -6.622 -1.252
-2.933 4.372 5.705
ATOMIC_POSITIONS angstrom
Pt -0.467 1.520 -2.340
Pt 0.000 0.000 0.000
Pt -2.900 -1.672 1.004
Pt -5.229 -1.603 -0.766
Pt -3.757 -1.533 -3.294
Pt -4.819 2.461 -1.230
Pt -2.490 2.392 0.540
Pt -3.962 2.322 3.068
Y -2.433 3.578 -2.234
Y -4.273 4.521 1.026
Y -5.079 0.745 1.014
Y -5.286 -2.789 2.008
Y -3.446 -3.733 -1.253
Y -2.641 0.043 -1.241
```

Properties
symmetry: R-3 (148)
DFT total energy: -748.279 eV/cell

[2]
VASP calculation (SCAN) on a PBEsol-optimized structure of Rb2HfCBr. Values from VASP.

```
&SYSTEM
  ibrav = 0, nat = 5, ntyp = 4
/
ATOMIC_SPECIES
C 12.01 C.upf
Hf 178.49 Hf.upf
Br 79.90 Br.upf
Rb 85.47 Rb.upf
CELL_PARAMETERS angstrom
5.070 0.000 0.000
0.000 7.033 0.000
0.000 0.000 7.033
ATOMIC_POSITIONS angstrom
C 2.535 3.517 3.517
Hf 0.000 0.000 0.000
Br 2.535 0.000 0.000
Rb 0.000 0.000 3.517
Rb 0.000 3.517 0.000
```

Properties
symmetry: P4/mmm (123)
E_form (uncorrected): 1.4442 eV/atom
DFT total energy: -126.490 eV/cell

[3]
VASP calculation (SCAN) on a PBEsol-optimized structure of Y2HgSe. Values from VASP.

```
&SYSTEM
  ibrav = 0, nat = 4, ntyp = 3
/
ATOMIC_SPECIES
Hg 200.59 Hg.upf
Se 78.96 Se.upf
Y 88.91 Y.upf
CELL_PARAMETERS angstrom
0.011 -3.191 -1.444
5.154 -0.074 0.208
-0.898 -2.095 4.627
ATOMIC_POSITIONS angstrom
Hg 2.134 -2.680 1.695
Se 0.006 -1.596 -0.722
Y 2.577 -0.037 0.104
Y -0.449 -1.048 2.314
```

Properties
symmetry: Cmmm (65)
E_form (uncorrected): -1.0693 eV/atom
DFT total energy: -148.207 eV/cell
energy above the most stable polymorph in this dataset: 301 meV per atom

[4]
VASP calculation (SCAN) on a PBEsol-optimized structure of AlTcI2O. Values from VASP.

```
&SYSTEM
  ibrav = 0, nat = 5, ntyp = 4
/
ATOMIC_SPECIES
I 126.90 I.upf
Tc 98.00 Tc.upf
O 16.00 O.upf
Al 26.98 Al.upf
CELL_PARAMETERS angstrom
3.442 0.000 0.000
0.000 5.609 0.000
0.000 0.000 5.609
ATOMIC_POSITIONS angstrom
I 0.000 0.000 2.804
I 0.000 2.804 0.000
Tc 1.721 2.804 2.804
O 1.721 0.000 0.000
Al 0.000 0.000 0.000
```

Properties
symmetry: P4/mmm (123)
E_form (uncorrected): -0.2601 eV/atom
DFT total energy: -123.827 eV/cell

[5]
VASP calculation (SCAN) on a PBEsol-optimized structure of MoHRu3. Values from VASP.

```
&SYSTEM
  ibrav = 0, nat = 5, ntyp = 3
/
ATOMIC_SPECIES
Ru 101.07 Ru.upf
Mo 95.94 Mo.upf
H 1.01 H.upf
CELL_PARAMETERS angstrom
3.849 0.000 0.000
0.000 3.849 0.000
0.000 0.000 3.849
ATOMIC_POSITIONS angstrom
Ru 0.000 1.924 0.000
Ru 0.000 0.000 1.924
Ru 1.924 0.000 0.000
Mo 1.924 1.924 1.924
H 0.000 0.000 0.000
```

Properties
symmetry: Pm-3m (221)
DFT total energy: -142.828 eV/cell

[6]
VASP calculation (SCAN) on a PBEsol-optimized structure of Li2CoCO4. Values from VASP.

```
&SYSTEM
  ibrav = 0, nat = 32, ntyp = 4
/
ATOMIC_SPECIES
Li 6.94 Li.upf
Co 58.93 Co.upf
C 12.01 C.upf
O 16.00 O.upf
CELL_PARAMETERS angstrom
4.954 0.000 0.000
0.000 6.620 0.044
0.000 -1.197 10.335
ATOMIC_POSITIONS angstrom
Li 4.161 5.025 7.400
Li 3.271 5.623 2.232
Li 3.380 3.967 9.683
Li 4.051 4.566 4.516
Li 0.903 0.857 5.864
Li 1.574 1.455 0.696
Li 1.684 -0.201 8.148
Li 0.794 0.398 2.980
Co 3.219 2.465 6.892
Co 0.742 2.359 8.655
Co 4.213 3.063 1.725
Co 1.736 2.958 3.487
C 1.547 4.659 5.880
C 0.930 5.258 0.712
C 4.024 0.165 9.667
C 3.408 0.763 4.500
O 0.928 5.523 6.618
O 1.550 6.122 1.451
O 2.823 4.450 6.044
O 4.609 5.049 0.876
O 1.589 3.417 10.142
O 4.241 3.315 8.167
O 0.889 4.016 4.974
O 3.190 3.914 2.999
O 1.764 1.509 7.380
O 4.066 1.407 5.405
O 0.713 2.108 2.213
O 3.366 2.006 0.238
O 0.346 0.374 9.504
O 2.131 0.973 4.336
O 3.405 -0.699 8.929
O 4.027 -0.100 3.761
```

Properties
symmetry: P2_1/c (14)
E_form (uncorrected): -1.7248 eV/atom
DFT total energy: -283.627 eV/cell

[7]
VASP calculation (SCAN) on a PBEsol-optimized structure of K3RbNa. Values from VASP.

```
&SYSTEM
  ibrav = 0, nat = 5, ntyp = 3
/
ATOMIC_SPECIES
Na 22.99 Na.upf
K 39.10 K.upf
Rb 85.47 Rb.upf
CELL_PARAMETERS angstrom
-1.616 2.877 -6.390
-0.103 -6.566 -2.930
-7.007 -0.567 1.516
ATOMIC_POSITIONS angstrom
Na 0.000 0.000 0.000
K -0.052 -3.283 -1.465
K -3.503 -0.283 0.758
K -0.808 1.438 -3.195
Rb -4.363 -2.128 -3.902
```

Properties
symmetry: Pm-3m (221)
DFT total energy: -49.499 eV/cell

[8]
VASP calculation (SCAN) on a PBEsol-optimized structure of MoOs5. Values from VASP.

```
&SYSTEM
  ibrav = 0, nat = 6, ntyp = 2
/
ATOMIC_SPECIES
Mo 95.94 Mo.upf
Os 190.23 Os.upf
CELL_PARAMETERS angstrom
-0.062 -2.526 -1.066
1.353 -1.631 3.786
-6.748 0.539 2.644
ATOMIC_POSITIONS angstrom
Mo -6.802 -1.986 1.576
Os -2.325 -1.136 2.827
Os -4.510 -0.481 1.405
Os -0.112 -2.159 1.596
Os -2.315 -1.507 0.178
Os -4.628 -2.641 3.002
```

Properties
symmetry: Amm2 (38)
DFT total energy: -394.424 eV/cell
energy above the most stable polymorph in this dataset: 20 meV per atom

| no. | total moment (μB per formula unit) |
| --- | --- |
| 1 | 0.00 |
| 2 | 5.00 |
| 3 | 0.83 |
| 4 | 4.18 |
| 5 | 0.00 |
| 6 | 3.00 |
| 7 | 0.01 |
| 8 | 0.00 |